[1]
First-principles (GGA-PBE) data for LaNd2Y5Sc after structural relaxation, as listed in Alexandria.

Properties
Volume ... 32.8 Å³ per atom
DFT formation energy ... 162 meV/atom
SG ... No. 36
Energy ... -5.74 eV per atom

Unit cell a=10.3425 b=10.3425 c=10.5205 alpha=90.00 beta=90.00 gamma=148.32
Atoms (fractional coordinates):
La1 0.0855 0.9145 0.5000
La2 0.9145 0.0855 0.0000
Nd1 0.3852 0.6148 0.7792
Nd2 0.3881 0.6119 0.3595
Nd3 0.6119 0.3881 0.8595
Nd4 0.6148 0.3852 0.2792
Y1 0.0178 0.9822 0.7839
Y2 0.1288 0.8712 0.0652
Y3 0.2052 0.7948 0.7487
Y4 0.2252 0.7748 0.3761
Y5 0.4837 0.5163 0.0657
Y6 0.5163 0.4837 0.5657
Y7 0.7748 0.2252 0.8761
Y8 0.7948 0.2052 0.2487
Y9 0.8712 0.1288 0.5652
Y10 0.9822 0.0178 0.2839
Sc1 0.3052 0.6948 0.0602
Sc2 0.6948 0.3052 0.5602

=====

[2]
First-principles (GGA-PBE) data for TlCd2TeO after structural relaxation, as listed in Alexandria.

Properties
Volume ... 35.4 Å³ per atom
SG ... No. 123
Energy relative to the elements, uncorrected ... 922 meV per atom
Energy ... -1.54 eV per atom

Unit cell a=5.4762 b=5.4762 c=5.9052 alpha=90.00 beta=90.00 gamma=90.00
Atoms (fractional coordinates):
Tl1 0.0000 0.0000 0.0000
Cd1 0.0000 0.5000 0.0000
Cd2 0.5000 0.0000 0.0000
Te1 0.0000 0.0000 0.5000
O1 0.5000 0.5000 0.5000

=====

[3]
First-principles (GGA-PBE) data for Ce12PuCd6 after structural relaxation, as listed in Alexandria.

Properties
Volume ... 28.0 Å³ per atom
DFT formation energy ... 22 meV/atom
SG ... No. 148
Energy ... -4.77 eV per atom

Unit cell a=8.7644 b=8.7644 c=8.7644 alpha=108.69 beta=108.69 gamma=108.69
Atoms (fractional coordinates):
Ce1 0.1354 0.3078 0.8355
Ce2 0.1495 0.4484 0.5975
Ce3 0.1645 0.8646 0.6922
Ce4 0.3078 0.8355 0.1354
Ce5 0.4025 0.8505 0.5516
Ce6 0.4484 0.5975 0.1495
Ce7 0.5516 0.4025 0.8505
Ce8 0.5975 0.1495 0.4484
Ce9 0.6922 0.1645 0.8646
Ce10 0.8355 0.1354 0.3078
Ce11 0.8505 0.5516 0.4025
Ce12 0.8646 0.6922 0.1645
Pu1 0.0000 0.0000 0.0000
Cd1 0.0938 0.4460 0.2070
Cd2 0.2070 0.0938 0.4460
Cd3 0.4460 0.2070 0.0938
Cd4 0.5540 0.7930 0.9062
Cd5 0.7930 0.9062 0.5540
Cd6 0.9062 0.5540 0.7930

=====

[4]
First-principles (GGA-PBE) data for RbHf2TaRh after structural relaxation, as listed in Alexandria.

Properties
Volume ... 22.4 Å³ per atom
DFT formation energy ... 2364 meV/atom
SG ... No. 123
Energy ... -5.65 eV per atom

Unit cell a=4.9279 b=4.9279 c=4.6038 alpha=90.00 beta=90.00 gamma=90.00
Atoms (fractional coordinates):
Rb1 0.0000 0.0000 0.0000
Hf1 0.0000 0.5000 0.0000
Hf2 0.5000 0.0000 0.0000
Ta1 0.5000 0.5000 0.5000
Rh1 0.0000 0.0000 0.5000

=====

[5]
First-principles (GGA-PBE) data for BeZn5I12 after structural relaxation, as listed in Alexandria.

Properties
Volume ... 43.0 Å³ per atom
SG ... No. 2
Energy relative to the elements, uncorrected ... -465 meV per atom
Energy ... -2.06 eV per atom

Unit cell a=4.1651 b=10.9115 c=17.6032 alpha=95.88 beta=96.54 gamma=100.94
Atoms (fractional coordinates):
Be1 0.0000 0.0000 0.0000
Zn1 0.0000 0.0000 0.5000
Zn2 0.0219 0.4571 0.0922
Zn3 0.3334 0.6673 0.4997
Zn4 0.6666 0.3327 0.5003
Zn5 0.9781 0.5429 0.9078
I1 0.1194 0.6832 0.0441
I2 0.1647 0.2395 0.5934
I3 0.1694 0.4265 0.4074
I4 0.1765 0.9591 0.8895
I5 0.4521 0.5770 0.8198
I6 0.4964 0.9066 0.5932
I7 0.5036 0.0934 0.4068
I8 0.5479 0.4230 0.1802
I9 0.8235 0.0409 0.1105
I10 0.8306 0.5735 0.5926
I11 0.8353 0.7605 0.4066
I12 0.8806 0.3168 0.9559

=====

[6]
First-principles (GGA-PBE) data for YLu2Pd after structural relaxation, as listed in Alexandria.

Properties
Volume ... 25.6 Å³ per atom
DFT formation energy ... -452 meV/atom
SG ... No. 123
Energy ... -5.63 eV per atom

Unit cell a=3.5102 b=3.5102 c=8.3266 alpha=90.00 beta=90.00 gamma=90.00
Atoms (fractional coordinates):
Y1 0.0000 0.0000 0.0000
Lu1 0.5000 0.5000 0.3027
Lu2 0.5000 0.5000 0.6973
Pd1 0.0000 0.0000 0.5000

=====

[7]
First-principles (GGA-PBE) data for CsFe2Br7 after structural relaxation, as listed in Alexandria.

Properties
Volume ... 46.8 Å³ per atom
SG ... No. 65
Energy relative to the elements, uncorrected ... -641 meV per atom
Energy ... -3.59 eV per atom

Unit cell a=9.5915 b=9.5915 c=5.2248 alpha=90.00 beta=90.00 gamma=103.22
Atoms (fractional coordinates):
Cs1 0.0000 0.0000 0.0000
Fe1 0.2893 0.2893 0.5000
Fe2 0.7107 0.7107 0.5000
Br1 0.0486 0.3063 0.5000
Br2 0.3063 0.0486 0.5000
Br3 0.3190 0.3190 0.0000
Br4 0.5000 0.5000 0.5000
Br5 0.6810 0.6810 0.0000
Br6 0.6937 0.9514 0.5000
Br7 0.9514 0.6937 0.5000

=====

[8]
First-principles (GGA-PBE) data for YZr2Re after structural relaxation, as listed in Alexandria.

Properties
Volume ... 22.1 Å³ per atom
DFT formation energy ... 153 meV/atom
SG ... No. 6
Energy ... -8.85 eV per atom

Unit cell a=3.2012 b=4.6239 c=6.1858 alpha=90.00 beta=104.82 gamma=90.00
Atoms (fractional coordinates):
Y1 0.0000 0.0000 0.0000
Zr1 0.3651 0.0000 0.5419
Zr2 0.6960 0.5000 0.3025
Re1 0.1840 0.5000 0.7396

=====

[9]
First-principles (GGA-PBE) data for UPaH after structural relaxation, as listed in Alexandria.

Properties
Volume ... 17.2 Å³ per atom
SG ... No. 107
Energy ... -7.39 eV per atom

Unit cell a=4.3280 b=4.3280 c=4.3280 alpha=125.78 beta=125.78 gamma=80.25
Atoms (fractional coordinates):
U1 0.0000 0.0000 0.0000
Pa1 0.3959 0.3959 0.0000
H1 0.7022 0.7022 0.0000

=====

[10]
First-principles (GGA-PBE) data for K2Hg3 after structural relaxation, as listed in Alexandria.

Properties
Volume ... 33.4 Å³ per atom
DFT formation energy ... -220 meV/atom
SG ... No. 166
Energy ... -0.84 eV per atom

Unit cell a=6.7022 b=6.7022 c=6.7022 alpha=50.82 beta=50.82 gamma=50.82
Atoms (fractional coordinates):
K1 0.1023 0.1023 0.1023
K2 0.8977 0.8977 0.8977
Hg1 0.3218 0.3218 0.3218
Hg2 0.5000 0.5000 0.5000
Hg3 0.6782 0.6782 0.6782

=====

[11]
First-principles (GGA-PBE) data for RbCeCuS3 after structural relaxation, as listed in Alexandria.

Properties
Volume ... 27.2 Å³ per atom
SG ... No. 11
Energy relative to the elements, uncorrected ... -1363 meV per atom
Energy ... -5.26 eV per atom

Unit cell a=9.0711 b=4.0601 c=9.3463 alpha=90.00 beta=108.81 gamma=90.00
Atoms (fractional coordinates):
Rb1 0.2038 0.2500 0.2456
Rb2 0.7962 0.7500 0.7544
Ce1 0.3200 0.7500 0.8356
Ce2 0.6800 0.2500 0.1644
Cu1 0.0819 0.2500 0.5977
Cu2 0.9181 0.7500 0.4023
S1 0.1260 0.2500 0.8557
S2 0.1886 0.7500 0.5347
S3 0.4658 0.7500 0.1512
S4 0.5342 0.2500 0.8488
S5 0.8114 0.2500 0.4653
S6 0.8740 0.7500 0.1443

=====

[12]
First-principles (GGA-PBE) data for CsRbCl2F6 after structural relaxation, as listed in Alexandria.

Properties
Volume ... 24.2 Å³ per atom
SG ... No. 148
Energy relative to the elements, uncorrected ... -1186 meV per atom
Energy ... -2.86 eV per atom

Unit cell a=6.8351 b=6.8351 c=6.8351 alpha=63.22 beta=63.22 gamma=63.22
Atoms (fractional coordinates):
Cs1 0.0000 0.0000 0.0000
Rb1 0.5000 0.5000 0.5000
Cl1 0.2470 0.2470 0.2470
Cl2 0.7530 0.7530 0.7530
F1 0.0396 0.7376 0.4820
F2 0.2624 0.5180 0.9604
F3 0.4820 0.0396 0.7376
F4 0.5180 0.9604 0.2624
F5 0.7376 0.4820 0.0396
F6 0.9604 0.2624 0.5180

=====

[13]
First-principles (GGA-PBE) data for Dy4ErPb2 after structural relaxation, as listed in Alexandria.

Properties
Volume ... 34.1 Å³ per atom
DFT formation energy ... 444 meV/atom
SG ... No. 139
Energy ... -3.90 eV per atom

Unit cell a=9.1182 b=9.1182 c=9.1182 alpha=145.80 beta=145.80 gamma=49.15
Atoms (fractional coordinates):
Dy1 0.0000 0.5000 0.5000
Dy2 0.1830 0.1830 0.0000
Dy3 0.5000 0.0000 0.5000
Dy4 0.8170 0.8170 0.0000
Er1 0.0000 0.0000 0.0000
Pb1 0.3693 0.3693 0.0000
Pb2 0.6307 0.6307 0.0000

=====

[14]
First-principles (GGA-PBE) data for CaPb2Br after structural relaxation, as listed in Alexandria.

Properties
Volume ... 31.3 Å³ per atom
SG ... No. 225
Energy relative to the elements, uncorrected ... -144 meV per atom
Energy ... -2.92 eV per atom

Unit cell a=5.6177 b=5.6177 c=5.6177 alpha=60.00 beta=60.00 gamma=60.00
Atoms (fractional coordinates):
Ca1 0.0000 0.0000 0.0000
Pb1 0.2500 0.2500 0.2500
Pb2 0.7500 0.7500 0.7500
Br1 0.5000 0.5000 0.5000

=====

[15]
First-principles (GGA-PBE) data for BiPb2F6 after structural relaxation, as listed in Alexandria.

Properties
Volume ... 16.0 Å³ per atom
SG ... No. 189
Energy relative to the elements, uncorrected ... -2158 meV per atom
Energy ... -4.66 eV per atom

Unit cell a=6.8852 b=6.8852 c=3.5132 alpha=90.00 beta=90.00 gamma=120.00
Atoms (fractional coordinates):
Bi1 0.0000 0.0000 0.0000
Pb1 0.3333 0.6667 0.5000
Pb2 0.6667 0.3333 0.5000
F1 0.0000 0.2451 0.5000
F2 0.0000 0.6490 0.0000
F3 0.2451 0.0000 0.5000
F4 0.3510 0.3510 0.0000
F5 0.6490 0.0000 0.0000
F6 0.7549 0.7549 0.5000

=====

[16]
First-principles (GGA-PBE) data for SbPOs2 after structural relaxation, as listed in Alexandria.

Properties
Volume ... 16.5 Å³ per atom
SG ... No. 12
Energy relative to the elements, uncorrected ... 898 meV per atom
Energy ... -7.10 eV per atom

Unit cell a=5.1715 b=5.1715 c=3.0862 alpha=107.20 beta=107.20 gamma=110.77
Atoms (fractional coordinates):
Sb1 0.0000 0.0000 0.0000
P1 0.5000 0.5000 0.0000
Os1 0.0000 0.5000 0.5000
Os2 0.5000 0.0000 0.5000

=====

[17]
First-principles (GGA-PBE) data for NbGe3Se after structural relaxation, as listed in Alexandria.

Properties
Volume ... 23.2 Å³ per atom
SG ... No. 221
Energy relative to the elements, uncorrected ... 1167 meV per atom
Energy ... -4.31 eV per atom

Unit cell a=4.8801 b=4.8801 c=4.8801 alpha=90.00 beta=90.00 gamma=90.00
Atoms (fractional coordinates):
Nb1 0.0000 0.0000 0.0000
Ge1 0.0000 0.5000 0.5000
Ge2 0.5000 0.0000 0.5000
Ge3 0.5000 0.5000 0.0000
Se1 0.5000 0.5000 0.5000

=====

[18]
First-principles (GGA-PBE) data for Ho7Bi2Pt2 after structural relaxation, as listed in Alexandria.

Properties
Volume ... 27.9 Å³ per atom
DFT formation energy ... -798 meV/atom
SG ... No. 44
Energy ... -5.52 eV per atom

Unit cell a=9.5716 b=9.5716 c=9.5716 alpha=156.40 beta=67.18 gamma=118.13
Atoms (fractional coordinates):
Ho1 0.0000 0.0000 0.0000
Ho2 0.0557 0.3696 0.6861
Ho3 0.0719 0.7197 0.3521
Ho4 0.3676 0.7197 0.6479
Ho5 0.4494 0.5762 0.8733
Ho6 0.6835 0.3696 0.3139
Ho7 0.7029 0.5762 0.1267
Bi1 0.3295 0.3295 0.0000
Bi2 0.7403 0.2403 0.5000
Pt1 0.3050 0.0654 0.2396
Pt2 0.8258 0.0654 0.7604

=====

[19]
First-principles (GGA-PBE) data for BiBPt3 after structural relaxation, as listed in Alexandria.

Properties
Volume ... 17.6 Å³ per atom
DFT formation energy ... -164 meV/atom
SG ... No. 12
Energy ... -5.90 eV per atom

Unit cell a=7.5766 b=7.5766 c=5.6610 alpha=99.26 beta=99.26 gamma=33.39
Atoms (fractional coordinates):
Bi1 0.0976 0.0976 0.2472
Bi2 0.9024 0.9024 0.7528
B1 0.3311 0.3311 0.1240
B2 0.6689 0.6689 0.8760
Pt1 0.2091 0.2091 0.8646
Pt2 0.3144 0.3144 0.4817
Pt3 0.4717 0.4717 0.2344
Pt4 0.5283 0.5283 0.7656
Pt5 0.6856 0.6856 0.5183
Pt6 0.7909 0.7909 0.1354

=====

[20]
First-principles (GGA-PBE) data for TbNd2TmMg after structural relaxation, as listed in Alexandria.

Properties
Volume ... 32.1 Å³ per atom
DFT formation energy ... 167 meV/atom
SG ... No. 51
Energy ... -3.88 eV per atom

Unit cell a=5.9436 b=7.5770 c=7.1251 alpha=90.00 beta=90.00 gamma=90.00
Atoms (fractional coordinates):
Tb1 0.2500 0.0000 0.1199
Tb2 0.7500 0.0000 0.8801
Nd1 0.2500 0.2879 0.8041
Nd2 0.2500 0.7121 0.8041
Nd3 0.7500 0.2879 0.1959
Nd4 0.7500 0.7121 0.1959
Tm1 0.2500 0.5000 0.3482
Tm2 0.7500 0.5000 0.6518
Mg1 0.0000 0.0000 0.5000
Mg2 0.5000 0.0000 0.5000

=====

[21]
First-principles (GGA-PBE) data for MgScRhPb after structural relaxation, as listed in Alexandria.

Properties
Volume ... 20.5 Å³ per atom
DFT formation energy ... -512 meV/atom
SG ... No. 99
Energy ... -5.26 eV per atom

Unit cell a=3.2603 b=3.2603 c=7.6974 alpha=90.00 beta=90.00 gamma=90.00
Atoms (fractional coordinates):
Mg1 0.0000 0.0000 0.0000
Sc1 0.0000 0.0000 0.6017
Rh1 0.5000 0.5000 0.7978
Pb1 0.5000 0.5000 0.2966

=====

[22]
First-principles (GGA-PBE) data for Hf8InPb2 after structural relaxation, as listed in Alexandria.

Properties
Volume ... 23.5 Å³ per atom
DFT formation energy ... 153 meV/atom
SG ... No. 12
Energy ... -8.01 eV per atom

Unit cell a=7.8542 b=7.8542 c=5.4020 alpha=102.16 beta=102.16 gamma=120.81
Atoms (fractional coordinates):
Hf1 0.0983 0.3153 0.6647
Hf2 0.2198 0.7802 0.0000
Hf3 0.3153 0.0983 0.6647
Hf4 0.4145 0.4145 0.2018
Hf5 0.5855 0.5855 0.7982
Hf6 0.6847 0.9017 0.3353
Hf7 0.7802 0.2198 0.0000
Hf8 0.9017 0.6847 0.3353
In1 0.0000 0.0000 0.0000
Pb1 0.3045 0.6955 0.5000
Pb2 0.6955 0.3045 0.5000

=====

[23]
First-principles (GGA-PBE) data for SmHo2Au4 after structural relaxation, as listed in Alexandria.

Properties
Volume ... 25.4 Å³ per atom
DFT formation energy ... -702 meV/atom
SG ... No. 65
Energy ... -4.56 eV per atom

Unit cell a=6.0814 b=6.0814 c=5.0050 alpha=90.00 beta=90.00 gamma=106.28
Atoms (fractional coordinates):
Sm1 0.0000 0.0000 0.0000
Ho1 0.2857 0.7143 0.5000
Ho2 0.7143 0.2857 0.5000
Au1 0.0000 0.5000 0.0000
Au2 0.2129 0.2129 0.5000
Au3 0.5000 0.0000 0.0000
Au4 0.7871 0.7871 0.5000

=====

[24]
First-principles (GGA-PBE) data for LiLaHo2 after structural relaxation, as listed in Alexandria.

Properties
Volume ... 30.6 Å³ per atom
DFT formation energy ... 141 meV/atom
SG ... No. 160
Energy ... -3.86 eV per atom

Unit cell a=11.5772 b=11.5772 c=11.5772 alpha=17.50 beta=17.50 gamma=17.50
Atoms (fractional coordinates):
Li1 0.0000 0.0000 0.0000
La1 0.1665 0.1665 0.1665
Ho1 0.4113 0.4113 0.4113
Ho2 0.5883 0.5883 0.5883